A plane-wave DFT calculation with PBE-GGA was carried out for a relaxed structure of NaCoAgTe2S.

Unit cell a=6.8377 b=6.8377 c=10.5449 alpha=90.00 beta=90.00 gamma=147.21
Closest atoms and distances in Å follow each position.
Fractional coordinates of all 12 atoms:
Ag 0.0590 0.9410 0.2500  2 S 2.54, 2 Te 2.69
Ag 0.9410 0.0590 0.7500  2 S 2.54, 2 Te 2.69
Co 0.5000 0.5000 0.0000  4 Te 2.59, 2 S 2.78
Co 0.5000 0.5000 0.5000  4 Te 2.59, 2 S 2.78
Na 0.7538 0.2462 0.2500  2 S 3.05, 2 Te 3.14, 2 Ag 3.20
Na 0.2462 0.7538 0.7500  2 S 3.05, 2 Te 3.14, 2 Ag 3.20
S 0.4335 0.5665 0.2500  2 Ag 2.54, 2 Co 2.78
S 0.5665 0.4335 0.7500  2 Ag 2.54, 2 Co 2.78
Te 0.1311 0.8689 0.0108  2 Co 2.59, 1 Ag 2.69
Te 0.1311 0.8689 0.4892  2 Co 2.59, 1 Ag 2.69
Te 0.8689 0.1311 0.5108  2 Co 2.59, 1 Ag 2.69
Te 0.8689 0.1311 0.9892  2 Co 2.59, 1 Ag 2.69

Calculated values
DFT total energy ... -3.73 eV/atom
Spin magnetization ... 0.81 μB/f.u.


A plane-wave DFT calculation with PBE-GGA was carried out for a relaxed structure of ScGaAg2.

Unit cell a=4.6870 b=4.6870 c=4.6870 alpha=60.00 beta=60.00 gamma=60.00
Closest atoms and distances in Å follow each position.
Fractional coordinates of all 4 atoms:
Ag 0.0000 0.0000 0.0000  4 Sc 2.87, 4 Ag 2.87
Ag 0.7500 0.7500 0.7500  4 Ga 2.87, 4 Ag 2.87
Ga 0.5000 0.5000 0.5000  4 Sc 2.87, 4 Ag 2.87
Sc 0.2500 0.2500 0.2500  4 Ag 2.87, 4 Ga 2.87

Calculated values
DFT total energy ... -4.05 eV/atom
Spin magnetization ... 0.00 μB/f.u.


A plane-wave DFT calculation with PBE-GGA was carried out for a relaxed structure of LiCoAsOs.

Unit cell a=4.1571 b=4.1571 c=4.1571 alpha=60.00 beta=60.00 gamma=60.00
Closest atoms and distances in Å follow each position.
Fractional coordinates of all 4 atoms:
As 0.0000 0.0000 0.0000  4 Li 2.55, 4 Co 2.55
Co 0.7500 0.7500 0.7500  4 Os 2.55, 4 As 2.55
Li 0.2500 0.2500 0.2500  4 As 2.55, 4 Os 2.55
Os 0.5000 0.5000 0.5000  4 Co 2.55, 4 Li 2.55

Calculated values
DFT total energy ... -5.89 eV/atom
Relative energy among the computed polymorphs ... 123 kJ/mol of formula units
Spin magnetization ... 2.69 μB/f.u.